--- A ---
Entry from OQMD via LeMat-Bulk: a relaxed structure of TcB4Os (GGA-PBE).

Structure (CIF):
```
data_TcB4Os
_chemical_formula_sum 'Tc1 B4 Os1'
_cell_length_a 2.911
_cell_length_b 2.911
_cell_length_c 7.387
_cell_angle_alpha 90.00
_cell_angle_beta 90.00
_cell_angle_gamma 120.00
_space_group_name_H-M_alt 'P 1'
_space_group_IT_number 1
loop_
_space_group_symop_operation_xyz
'x,y,z'
loop_
_atom_site_label
_atom_site_type_symbol
_atom_site_fract_x
_atom_site_fract_y
_atom_site_fract_z
Tc1 Tc 0.000 0.000 0.000
B1 B 0.000 0.000 0.299
B2 B 0.000 0.000 0.701
B3 B 0.333 0.667 0.199
B4 B 0.333 0.667 0.801
Os1 Os 0.333 0.667 0.500
```

Results
The space group is P-6m2. As for the volume: 9.0 Å³/atom.


--- B ---
Entry from OQMD via LeMat-Bulk: a relaxed structure of TcB4Os (GGA-PBE).

Structure (CIF):
```
data_TcB4Os
_chemical_formula_sum 'Tc1 B4 Os1'
_cell_length_a 2.971
_cell_length_b 2.971
_cell_length_c 6.859
_cell_angle_alpha 90.00
_cell_angle_beta 90.00
_cell_angle_gamma 120.00
_space_group_name_H-M_alt 'P 1'
_space_group_IT_number 1
loop_
_space_group_symop_operation_xyz
'x,y,z'
loop_
_atom_site_label
_atom_site_type_symbol
_atom_site_fract_x
_atom_site_fract_y
_atom_site_fract_z
Tc1 Tc 0.000 0.000 0.000
B1 B 0.333 0.667 0.248
B2 B 0.333 0.667 0.752
B3 B 0.667 0.333 0.248
B4 B 0.667 0.333 0.752
Os1 Os 0.000 0.000 0.500
```

Results
The space group is P6/mmm. As for the volume: 8.7 Å³/atom.


Q: What are the energies relative to the best structure? A: A 0; B 588, in meV per atom.


--- A ---
Entry from OQMD via LeMat-Bulk: a relaxed structure of B2Te2Os (GGA-PBE).

Structure (CIF):
```
data_B2Te2Os
_chemical_formula_sum 'B2 Te2 Os1'
_cell_length_a 8.448
_cell_length_b 8.448
_cell_length_c 8.448
_cell_angle_alpha 158.96
_cell_angle_beta 158.96
_cell_angle_gamma 29.93
_space_group_name_H-M_alt 'P 1'
_space_group_IT_number 1
loop_
_space_group_symop_operation_xyz
'x,y,z'
loop_
_atom_site_label
_atom_site_type_symbol
_atom_site_fract_x
_atom_site_fract_y
_atom_site_fract_z
B1 B 0.250 0.750 0.500
B2 B 0.750 0.250 0.500
Te1 Te 0.111 0.111 0.000
Te2 Te 0.889 0.889 0.000
Os1 Os 0.500 0.500 0.000
```

Results
The space group is I4/mmm. As for the volume: 15.5 Å³/atom.


--- B ---
Entry from OQMD via LeMat-Bulk: a relaxed structure of B2Te2Os (GGA-PBE).

Structure (CIF):
```
data_B2Te2Os
_chemical_formula_sum 'B2 Te2 Os1'
_cell_length_a 4.740
_cell_length_b 4.740
_cell_length_c 4.740
_cell_angle_alpha 113.90
_cell_angle_beta 113.90
_cell_angle_gamma 100.94
_space_group_name_H-M_alt 'P 1'
_space_group_IT_number 1
loop_
_space_group_symop_operation_xyz
'x,y,z'
loop_
_atom_site_label
_atom_site_type_symbol
_atom_site_fract_x
_atom_site_fract_y
_atom_site_fract_z
B1 B 0.134 0.134 0.000
B2 B 0.866 0.866 0.000
Te1 Te 0.250 0.750 0.500
Te2 Te 0.750 0.250 0.500
Os1 Os 0.500 0.500 0.000
```

Results
The space group is I4/mmm. As for the volume: 16.1 Å³/atom.


Q: What are the energies relative to the best structure? A: A 247; B 0, in meV per atom.